Record 1
First-principles (PBE) data for a relaxed structure of Th2Zn3Cu, as listed in Alexandria via LeMat-Bulk.

```
data_Th2Zn3Cu
_cell_length_a 9.0967
_cell_length_b 8.6327
_cell_length_c 5.7521
_cell_angle_alpha 75.50
_cell_angle_beta 66.75
_cell_angle_gamma 37.75
_space_group_name_H-M_alt 'P 1'
_space_group_IT_number 1
loop_
_space_group_symop_operation_xyz
'x,y,z'
loop_
_atom_site_label
_atom_site_type_symbol
_atom_site_fract_x
_atom_site_fract_y
_atom_site_fract_z
Th1 Th 0.2427 0.7573 0.7573
Th2 Th 0.2500 0.2500 0.2500
Th3 Th 0.7500 0.7500 0.7500
Th4 Th 0.7573 0.2427 0.2427
Zn1 Zn 0.1659 0.6662 0.3338
Zn2 Zn 0.3327 0.3327 0.6673
Zn3 Zn 0.3338 0.8341 0.1659
Zn4 Zn 0.6662 0.1659 0.8341
Zn5 Zn 0.6673 0.6673 0.3327
Zn6 Zn 0.8341 0.3338 0.6662
Cu1 Cu 0.1671 0.1671 0.8329
Cu2 Cu 0.8329 0.8329 0.1671
```

Computed properties:
* E_form: -0.245 eV per atom

Record 2
First-principles (PBE) data for a relaxed structure of Tl2CdBr, as listed in Alexandria via LeMat-Bulk.

```
data_Tl2CdBr
_cell_length_a 9.6899
_cell_length_b 9.6899
_cell_length_c 9.6899
_cell_angle_alpha 23.80
_cell_angle_beta 23.80
_cell_angle_gamma 23.80
_space_group_name_H-M_alt 'P 1'
_space_group_IT_number 1
loop_
_space_group_symop_operation_xyz
'x,y,z'
loop_
_atom_site_label
_atom_site_type_symbol
_atom_site_fract_x
_atom_site_fract_y
_atom_site_fract_z
Tl1 Tl 0.2481 0.2481 0.2481
Tl2 Tl 0.7519 0.7519 0.7519
Cd1 Cd 0.0000 0.0000 0.0000
Br1 Br 0.5000 0.5000 0.5000
```

Computed properties:
* polymorph energy (0 for the lowest one): 0.035 eV per atom

Record 3
First-principles (PBE) data for a relaxed structure of Cs3PuSb2Te6, as listed in Alexandria via LeMat-Bulk.

```
data_Cs3PuSb2Te6
_cell_length_a 8.0302
_cell_length_b 8.0302
_cell_length_c 9.2453
_cell_angle_alpha 98.33
_cell_angle_beta 98.33
_cell_angle_gamma 120.02
_space_group_name_H-M_alt 'P 1'
_space_group_IT_number 1
loop_
_space_group_symop_operation_xyz
'x,y,z'
loop_
_atom_site_label
_atom_site_type_symbol
_atom_site_fract_x
_atom_site_fract_y
_atom_site_fract_z
Cs1 Cs 0.0000 0.0000 0.0000
Cs2 Cs 0.3338 0.6662 0.0000
Cs3 Cs 0.6662 0.3338 0.0000
Pu1 Pu 0.5000 0.5000 0.5000
Sb1 Sb 0.1665 0.8335 0.5000
Sb2 Sb 0.8335 0.1665 0.5000
Te1 Te 0.1001 0.4378 0.3131
Te2 Te 0.2247 0.2247 0.6869
Te3 Te 0.4378 0.1001 0.3131
Te4 Te 0.5622 0.8999 0.6869
Te5 Te 0.7753 0.7753 0.3131
Te6 Te 0.8999 0.5622 0.6869
```

Computed properties:
* total energy: -4.366 eV/atom

Record 4
First-principles (PBE) data for a relaxed structure of Sr2ReO5, as listed in Alexandria via LeMat-Bulk.

```
data_Sr2ReO5
_cell_length_a 6.5633
_cell_length_b 6.5633
_cell_length_c 11.0976
_cell_angle_alpha 90.00
_cell_angle_beta 90.00
_cell_angle_gamma 145.22
_space_group_name_H-M_alt 'P 1'
_space_group_IT_number 1
loop_
_space_group_symop_operation_xyz
'x,y,z'
loop_
_atom_site_label
_atom_site_type_symbol
_atom_site_fract_x
_atom_site_fract_y
_atom_site_fract_z
Sr1 Sr 0.1391 0.8609 0.5656
Sr2 Sr 0.1391 0.8609 0.9344
Sr3 Sr 0.8609 0.1391 0.0656
Sr4 Sr 0.8609 0.1391 0.4344
Re1 Re 0.1514 0.8486 0.2500
Re2 Re 0.8486 0.1514 0.7500
O1 O 0.0469 0.9531 0.1276
O2 O 0.0469 0.9531 0.3724
O3 O 0.2627 0.7373 0.1215
O4 O 0.2627 0.7373 0.3785
O5 O 0.3419 0.6581 0.7500
O6 O 0.6581 0.3419 0.2500
O7 O 0.7373 0.2627 0.6215
O8 O 0.7373 0.2627 0.8785
O9 O 0.9531 0.0469 0.6276
O10 O 0.9531 0.0469 0.8724
```

Computed properties:
* polymorph energy (0 for the lowest one): 0.100 eV per atom

Density values (in g cm⁻³) by entry order: 9.52; 7.67; 5.55; 5.38.